# 1
First-principles (SCAN) data for NaSr2Cu2 at its PBEsol-relaxed geometry, as listed in the Alexandria database.

```
NaSr2Cu2
1.0
-2.952 -0.217 2.948
-3.562 -6.108 -4.018
4.520 -5.353 4.131
Sr Cu Na
4 4 2
Direct
0.500 0.175 0.675
0.500 0.675 0.825
0.500 0.825 0.325
0.500 0.325 0.175
0.000 0.394 0.894
0.000 0.894 0.606
0.000 0.606 0.106
0.000 0.106 0.394
0.000 0.000 0.000
0.000 0.500 0.500
```

Values from the calculation:
Formation enthalpy at 0 K = 0.009 eV/atom
Magnetization = 0.01 μB/f.u.
ρ = 3.91 Mg/m³
Final energy = -79.12 eV per formula unit

# 2
First-principles (SCAN) data for NaCuTc3 at its PBEsol-relaxed geometry, as listed in the Alexandria database.

```
NaCuTc3
1.0
-3.701 2.236 0.570
-2.126 -2.887 -2.484
-0.896 -2.386 3.540
Na Tc Cu
1 3 1
Direct
0.000 0.000 0.000
0.000 0.500 0.000
0.000 0.000 0.500
0.500 0.000 0.000
0.500 0.500 0.500
```

Values from the calculation:
Formation enthalpy at 0 K = 2.817 eV/atom
Magnetization = 3.44 μB/f.u.
ρ = 7.62 Mg/m³
Final energy = -110.51 eV per formula unit